# Li3VF8

A relaxed structure of Li3VF8 (PBE with a Hubbard U, Alexandria via LeMat-Bulk).

Theoretical density (Mg/m³): 2.27
Offset from the most stable computed form (eV per atom): 0.006
Calculated total energy (eV per atom): -5.004

Lattice parameters (Å, degrees): 5.7918 8.9875 6.2834 90.00 90.00 90.00
Space group C222 (No. 21)
Symmetry-distinct sites (fractional):
Li (0.0000, 0.0000, 0.0000)
Li (0.2500, 0.2500, 0.8391)
V (0.0000, 0.0000, 0.5000)
F (0.0000, 0.2013, 0.5000)
F (0.0000, 0.2025, 0.0000)
F (0.2200, 0.0146, 0.7075)